No. 1
First-principles (PBE) data for an optimized crystal structure of TbPr2Sb3, as listed in the Alexandria database.

Summary:
- space-group type = Immm (71)
- E_tot (eV per atom) = -5.596
- calculated density (g/cm3) = 6.890
- V (Å³/cell) = 194.2
- total magnetic moment (μB per cell) = 0.0
- formation energy from raw total energies (meV/atom) = -1170

POSCAR file:
```
TbPr2Sb3
1.0
-2.255 3.188 6.756
2.255 -3.188 6.756
2.255 3.188 -6.756
Tb Pr Sb
1 2 3
direct
0.000 0.000 0.000
0.332 0.332 0.000
0.668 0.668 0.000
0.161 0.661 0.500
0.500 0.000 0.500
0.839 0.339 0.500
```

***

No. 2
First-principles (PBE) data for an optimized crystal structure of Tb3Pr2Sb2, as listed in the Alexandria database.

Summary:
- space-group type = C2/m (12)
- E_tot (eV per atom) = -5.188
- calculated density (g/cm3) = 7.584
- V (Å³/cell) = 219.4
- total magnetic moment (μB per cell) = 0.0
- formation energy from raw total energies (meV/atom) = -660

POSCAR file:
```
Tb3Pr2Sb2
1.0
6.166 -2.161 0.000
6.166 2.161 0.000
-2.996 0.000 8.234
Tb Pr Sb
3 2 2
direct
0.000 0.000 0.000
0.126 0.126 0.448
0.874 0.874 0.552
0.364 0.364 0.204
0.636 0.636 0.796
0.333 0.333 0.795
0.667 0.667 0.205
```

***

No. 3
First-principles (PBE) data for an optimized crystal structure of TbPr2Sb2, as listed in the Alexandria database.

Summary:
- space-group type = Ibam (72)
- E_tot (eV per atom) = -5.350
- calculated density (g/cm3) = 6.792
- V (Å³/cell) = 334.6
- total magnetic moment (μB per cell) = 0.0
- formation energy from raw total energies (meV/atom) = -864

POSCAR file:
```
TbPr2Sb2
1.0
-4.328 6.027 3.207
4.328 -6.027 3.207
4.328 6.027 -3.207
Tb Pr Sb
2 4 4
direct
0.250 0.250 0.000
0.750 0.750 0.000
0.151 0.642 0.793
0.349 0.142 0.491
0.651 0.858 0.509
0.849 0.358 0.207
0.108 0.276 0.384
0.392 0.776 0.168
0.608 0.224 0.832
0.892 0.724 0.616
```

***

No. 4
First-principles (PBE) data for an optimized crystal structure of TbPrSb, as listed in the Alexandria database.

Summary:
- space-group type = P3m1 (156)
- E_tot (eV per atom) = -4.976
- calculated density (g/cm3) = 7.350
- V (Å³/cell) = 95.2
- total magnetic moment (μB per cell) = 0.0
- formation energy from raw total energies (meV/atom) = -465

POSCAR file:
```
TbPrSb
1.0
5.126 0.000 0.000
-2.563 4.439 0.000
0.000 0.000 4.186
Tb Pr Sb
1 1 1
direct
0.000 0.000 0.000
0.667 0.333 0.521
0.333 0.667 0.159
```

***

No. 5
First-principles (PBE) data for an optimized crystal structure of Tb3PrSb4, as listed in the Alexandria database.

Summary:
- space-group type = Cmmm (65)
- E_tot (eV per atom) = -5.549
- calculated density (g/cm3) = 7.396
- V (Å³/cell) = 248.0
- total magnetic moment (μB per cell) = 0.0
- formation energy from raw total energies (meV/atom) = -1154

POSCAR file:
```
Tb3PrSb4
1.0
4.441 -6.282 0.000
4.441 6.282 0.000
0.000 0.000 4.445
Tb Pr Sb
3 1 4
direct
0.000 0.000 0.000
0.000 0.500 0.500
0.500 0.000 0.500
0.500 0.500 0.000
0.243 0.243 0.500
0.247 0.753 0.000
0.753 0.247 0.000
0.757 0.757 0.500
```

***

No. 6
First-principles (PBE) data for an optimized crystal structure of TbPrSbTe, as listed in the Alexandria database.

Summary:
- space-group type = R3m (160)
- E_tot (eV per atom) = -5.485
- calculated density (g/cm3) = 7.208
- V (Å³/cell) = 126.5
- total magnetic moment (μB per cell) = 0.0
- formation energy from raw total energies (meV/atom) = -1317

POSCAR file:
```
TbPrSbTe
1.0
2.231 1.288 7.337
-2.231 1.288 7.337
0.000 -2.576 7.337
Tb Pr Sb Te
1 1 1 1
direct
0.000 0.000 0.000
0.507 0.507 0.507
0.257 0.257 0.257
0.750 0.750 0.750
```

***

No. 7
First-principles (PBE) data for an optimized crystal structure of Tb3PrTh2Sb6, as listed in the Alexandria database.

Summary:
- space-group type = C2/m (12)
- E_tot (eV per atom) = -5.940
- calculated density (g/cm3) = 7.979
- V (Å³/cell) = 377.2
- total magnetic moment (μB per cell) = 0.0
- formation energy from raw total energies (meV/atom) = -1086

POSCAR file:
```
Tb3PrTh2Sb6
1.0
9.716 -2.236 0.000
9.716 2.236 0.000
-2.007 0.000 8.681
Tb Pr Th Sb
3 1 2 6
direct
0.000 0.000 0.000
0.335 0.335 0.667
0.665 0.665 0.333
0.000 0.000 0.500
0.334 0.334 0.169
0.666 0.666 0.831
0.165 0.165 0.087
0.169 0.169 0.580
0.499 0.499 0.757
0.501 0.501 0.243
0.831 0.831 0.420
0.835 0.835 0.913
```

***

No. 8
First-principles (PBE) data for an optimized crystal structure of TbPrTh2Sb5, as listed in the Alexandria database.

Summary:
- space-group type = P4/mmm (123)
- E_tot (eV per atom) = -5.180
- calculated density (g/cm3) = 7.018
- V (Å³/cell) = 324.8
- total magnetic moment (μB per cell) = 0.0
- formation energy from raw total energies (meV/atom) = -195

POSCAR file:
```
TbPrTh2Sb5
1.0
5.274 0.000 0.000
0.000 5.274 0.000
0.000 0.000 11.675
Tb Pr Th Sb
1 1 2 5
direct
0.000 0.000 0.000
0.000 0.000 0.500
0.500 0.500 0.196
0.500 0.500 0.804
0.000 0.000 0.248
0.000 0.000 0.752
0.000 0.500 0.000
0.500 0.000 0.000
0.500 0.500 0.500
```

***

No. 9
First-principles (PBE) data for an optimized crystal structure of TbPr2Tm3Sb6, as listed in the Alexandria database.

Summary:
- space-group type = C2/m (12)
- E_tot (eV per atom) = -5.476
- calculated density (g/cm3) = 7.593
- V (Å³/cell) = 367.0
- total magnetic moment (μB per cell) = 0.0
- formation energy from raw total energies (meV/atom) = -1115

POSCAR file:
```
TbPr2Tm3Sb6
1.0
9.632 -2.213 0.000
9.632 2.213 0.000
-2.007 0.000 8.609
Tb Pr Tm Sb
1 2 3 6
direct
0.000 0.000 0.000
0.334 0.334 0.668
0.666 0.666 0.332
0.000 0.000 0.500
0.332 0.332 0.166
0.668 0.668 0.834
0.164 0.164 0.591
0.167 0.167 0.074
0.496 0.496 0.251
0.504 0.504 0.749
0.833 0.833 0.926
0.836 0.836 0.409
```

***

No. 10
First-principles (PBE) data for an optimized crystal structure of Tb2PrTmSb4, as listed in the Alexandria database.

Summary:
- space-group type = I4/mmm (139)
- E_tot (eV per atom) = -5.503
- calculated density (g/cm3) = 7.544
- V (Å³/cell) = 245.4
- total magnetic moment (μB per cell) = 0.0
- formation energy from raw total energies (meV/atom) = -1128

POSCAR file:
```
Tb2PrTmSb4
1.0
-3.131 3.131 6.257
3.131 -3.131 6.257
3.131 3.131 -6.257
Tb Pr Tm Sb
2 1 1 4
direct
0.250 0.750 0.500
0.750 0.250 0.500
0.000 0.000 0.000
0.500 0.500 0.000
0.000 0.500 0.500
0.255 0.255 0.000
0.500 0.000 0.500
0.745 0.745 0.000
```

***

No. 11
First-principles (PBE) data for an optimized crystal structure of TbPrTm2Sb4, as listed in the Alexandria database.

Summary:
- space-group type = I4/mmm (139)
- E_tot (eV per atom) = -5.456
- calculated density (g/cm3) = 7.689
- V (Å³/cell) = 242.9
- total magnetic moment (μB per cell) = 0.0
- formation energy from raw total energies (meV/atom) = -1101

POSCAR file:
```
TbPrTm2Sb4
1.0
-3.119 3.119 6.241
3.119 -3.119 6.241
3.119 3.119 -6.241
Tb Pr Tm Sb
1 1 2 4
direct
0.000 0.000 0.000
0.500 0.500 0.000
0.250 0.750 0.500
0.750 0.250 0.500
0.000 0.500 0.500
0.246 0.246 0.000
0.500 0.000 0.500
0.754 0.754 0.000
```

***

No. 12
First-principles (PBE) data for an optimized crystal structure of Tb2PrY3Sb6, as listed in the Alexandria database.

Summary:
- space-group type = C2/m (12)
- E_tot (eV per atom) = -6.007
- calculated density (g/cm3) = 6.583
- V (Å³/cell) = 367.3
- total magnetic moment (μB per cell) = 0.0
- formation energy from raw total energies (meV/atom) = -1160

POSCAR file:
```
Tb2PrY3Sb6
1.0
3.832 -6.639 0.000
3.832 6.639 0.000
-2.556 0.000 7.218
Tb Pr Y Sb
2 1 3 6
direct
0.167 0.833 0.000
0.833 0.167 0.000
0.500 0.500 0.000
0.000 0.000 0.500
0.336 0.664 0.500
0.664 0.336 0.500
0.076 0.415 0.745
0.245 0.245 0.253
0.415 0.076 0.745
0.585 0.924 0.255
0.755 0.755 0.747
0.924 0.585 0.255
```